Cs3ZnPt: optimized geometry, PBE.

Computed properties:
calculated total energy	-9.08	eV/f.u.
spin magnetization	0.98	Bohr magnetons per cell
calculated formation energy	0.80	eV/f.u.
calculated density	3.65	g cm⁻³

Lattice parameters (Å, degrees): 6.692 6.692 6.692 90.00 90.00 90.00
Space group Pm-3m (No. 221)
Unique sites:
Cs (0.000, 0.000, 0.500) x3
Zn (0.500, 0.500, 0.500) x1
Pt (0.000, 0.000, 0.000) x1